KBaRu2O8: relaxed, PBE.

Cell: 6.6464 6.4246 7.8896 Å, 55.87 65.09 58.85°
Closest atoms and distances in Å follow each position.
Element x y z (fractional)
K  0.5000  0.5000  0.5000  6 O 2.82-2.94
Ba  0.0000  0.0000  0.0000  6 O 2.70-2.77
Ru  0.2893  0.2321  0.1894  4 O 1.77-1.78
Ru  0.7107  0.7679  0.8106  4 O 1.77-1.78
O  0.8816  0.5347  0.7021  1 Ru 1.77
O  0.6719  0.5716  0.0847  1 Ru 1.77
O  0.1184  0.4653  0.2979  1 Ru 1.77
O  0.3281  0.4284  0.9153  1 Ru 1.77
O  0.5745  0.0148  0.2633  1 Ru 1.78
O  0.4255  0.9852  0.7367  1 Ru 1.78
O  0.1474  0.0148  0.2633  1 Ru 1.78
O  0.8526  0.9852  0.7367  1 Ru 1.78

Final energy: -77.1 eV per cell
Formation energy from raw total energies: -1.32 eV/atom



K3Ba2RuO6: relaxed, PBE.

Cell: 6.4422 6.4422 6.5354 Å, 99.27 99.27 120.45°
Closest atoms and distances in Å follow each position.
Element x y z (fractional)
K  0.1505  0.8495  0.5000  4 O 2.65-2.69
K  0.8495  0.1505  0.5000  4 O 2.65-2.69
K  0.5000  0.5000  0.5000  4 O 2.73
Ba  0.3320  0.6680  0.0000  6 O 2.67-2.69
Ba  0.6680  0.3320  0.0000  6 O 2.67-2.69
Ru  0.0000  0.0000  0.0000  6 O 2.05
O  0.9364  0.6768  0.8074  1 Ru 2.05
O  0.7970  0.7970  0.1862  1 Ru 2.05
O  0.0636  0.3232  0.1926  1 Ru 2.05
O  0.6768  0.9364  0.8074  1 Ru 2.05
O  0.2030  0.2030  0.8138  1 Ru 2.05
O  0.3232  0.0636  0.1926  1 Ru 2.05

Final energy: -66.1 eV per cell
Formation energy from raw total energies: -1.66 eV/atom